Tm5Al2Pd12 | PBE-GGA | relaxed

Cell: 5.702 8.271 9.655 Å, 116.75 90.00 110.16°
Atoms (fractional coordinates):
Tm 0.302 0.603 0.743
Tm 0.329 0.658 0.245
Tm 0.000 0.000 0.500
Tm 0.671 0.342 0.755
Tm 0.698 0.397 0.257
Al 0.757 0.000 0.000
Al 0.243 0.000 0.000
Pd 0.129 0.259 0.232
Pd 0.079 0.686 0.012
Pd 0.607 0.686 0.012
Pd 0.102 0.696 0.507
Pd 0.594 0.696 0.507
Pd 0.489 0.979 0.769
Pd 0.511 0.021 0.231
Pd 0.898 0.304 0.493
Pd 0.406 0.304 0.493
Pd 0.921 0.314 0.988
Pd 0.393 0.314 0.988
Pd 0.871 0.741 0.768

Results
D(E_F)	9.31	states/eV/cell
energy relative to the elements	-12.75	eV per formula unit
space group	No. 12
density	9.63	g/cm³
calculated total energy	-5.521	eV/atom